## KCa (GGA-PBE)

Data for a geometry-optimized KCa structure.

ΔH_f (0 K) in meV per atom: 277
Size of the total moment in μB per cell: 0.00
SG: No. 70
Electronic total energy in eV/atom: -1.273

Cell lengths 6.9238, 22.4569, 12.1615 Å; angles 90.00, 90.00, 90.00 degrees
With the nearest neighbours (Å) after each atom.
Fractional coordinates of all 32 atoms:
Ca 0.5000 0.5850 0.0000  3 Ca 3.82-3.93, 2 K 4.22
Ca 0.7500 0.3350 0.2500  3 Ca 3.82-3.93, 2 K 4.22
Ca 0.7500 0.1650 0.2500  3 Ca 3.82-3.93, 2 K 4.22
Ca 0.0000 0.5850 0.5000  3 Ca 3.82-3.93, 2 K 4.22
Ca 0.0000 0.0850 0.0000  3 Ca 3.82-3.93, 2 K 4.22
Ca 0.7500 0.8350 0.7500  3 Ca 3.82-3.93, 2 K 4.22
Ca 0.2500 0.8350 0.2500  3 Ca 3.82-3.93, 2 K 4.22
Ca 0.0000 0.9150 0.0000  3 Ca 3.82-3.93, 2 K 4.22
Ca 0.7500 0.6650 0.7500  3 Ca 3.82-3.93, 2 K 4.22
Ca 0.2500 0.3350 0.7500  3 Ca 3.82-3.93, 2 K 4.22
Ca 0.2500 0.6650 0.2500  3 Ca 3.82-3.93, 2 K 4.22
Ca 0.5000 0.0850 0.5000  3 Ca 3.82-3.93, 2 K 4.22
Ca 0.0000 0.4150 0.5000  3 Ca 3.82-3.93, 2 K 4.22
Ca 0.5000 0.4150 0.0000  3 Ca 3.82-3.93, 2 K 4.22
Ca 0.2500 0.1650 0.7500  3 Ca 3.82-3.93, 2 K 4.22
Ca 0.5000 0.9150 0.5000  3 Ca 3.82-3.93, 2 K 4.22
K 0.5000 0.5000 0.6650  3 K 4.01-4.03, 6 Ca 4.22-4.43
K 0.2500 0.2500 0.4150  3 K 4.01-4.03, 6 Ca 4.22-4.43
K 0.7500 0.2500 0.5850  3 K 4.01-4.03, 6 Ca 4.22-4.43
K 0.5000 0.0000 0.1650  3 K 4.01-4.03, 6 Ca 4.22-4.43
K 0.0000 0.5000 0.1650  3 K 4.01-4.03, 6 Ca 4.22-4.43
K 0.0000 0.5000 0.8350  3 K 4.01-4.03, 6 Ca 4.22-4.43
K 0.0000 0.0000 0.3350  3 K 4.01-4.03, 6 Ca 4.22-4.43
K 0.7500 0.2500 0.9150  3 K 4.01-4.03, 6 Ca 4.22-4.43
K 0.7500 0.7500 0.0850  3 K 4.01-4.03, 6 Ca 4.22-4.43
K 0.2500 0.7500 0.9150  3 K 4.01-4.03, 6 Ca 4.22-4.43
K 0.7500 0.7500 0.4150  3 K 4.01-4.03, 6 Ca 4.22-4.43
K 0.2500 0.2500 0.0850  3 K 4.01-4.03, 6 Ca 4.22-4.43
K 0.2500 0.7500 0.5850  3 K 4.01-4.03, 6 Ca 4.22-4.43
K 0.5000 0.5000 0.3350  3 K 4.01-4.03, 6 Ca 4.22-4.43
K 0.0000 0.0000 0.6650  3 K 4.01-4.03, 6 Ca 4.22-4.43
K 0.5000 0.0000 0.8350  3 K 4.01-4.03, 6 Ca 4.22-4.43

---

## La2Cu2Si (GGA-PBE)

Data for a geometry-optimized La2Cu2Si structure.

Size of the total moment in μB per cell: 0.37
SG: No. 139
Energy above the most stable polymorph in this dataset in meV/atom: 225
Electronic total energy in eV/atom: -4.867

Cell lengths 5.7655, 5.7655, 5.3817 Å; angles 57.61, 57.61, 90.00 degrees
With the nearest neighbours (Å) after each atom.
Fractional coordinates of all 5 atoms:
La 0.7500 0.2500 0.5000  4 Cu 2.95
La 0.2500 0.7500 0.5000  4 Cu 2.95
Cu 0.6619 0.6619 0.6762  1 Cu 2.27, 1 Si 2.38
Cu 0.3381 0.3381 0.3238  1 Cu 2.27, 1 Si 2.38
Si 0.0000 0.0000 0.0000  2 Cu 2.38